Computed, not measured: crystalline NdTlSe2 at its relaxed geometry at the GGA-PBEsol level of DFT.

raw formation energy	-1.33	eV per atom

abc: 4.2382 4.2382 22.7251
angles: 90.00 90.00 120.00
Space group R-3m (No. 166, hexagonal axes)
Symmetry-distinct sites (fractional):
Nd (0.0000, 0.0000, 0.0000)
Tl (0.0000, 0.0000, 0.5000)
Se (0.0000, 0.0000, 0.2614)